TaTlZn2 | GGA-PBE | optimized geometry

Calculated values
ΔH_f (0 K) in eV per atom: 0.3536
Electronic total energy in Ry/atom: -0.2821
Symmetry: No. 12
Offset from the most stable computed form in meV per atom: 146.7
Total magnetization in μB per formula unit: 0.0

Unit cell a=5.2914 b=5.2914 c=5.1669 alpha=76.73 beta=76.73 gamma=32.93
Last column: nearest neighbours and their distance in Å.
Fractional coordinates of all 4 atoms:
Tl  0.2500  0.2500  0.2500  4 Ta 2.99, 2 Tl 3.00, 6 Zn 3.13-3.15
Zn  0.4865  0.4865  0.5496  2 Zn 2.62, 2 Ta 2.81
Zn  0.0135  0.0135  0.9504  2 Zn 2.62, 2 Ta 2.81
Ta  0.7500  0.7500  0.7500  6 Zn 2.81-3.09, 4 Tl 2.99, 2 Ta 3.00

***

YMg2 | GGA-PBE | optimized geometry

Calculated values
ΔH_f (0 K) in eV per atom: -0.0382
Electronic total energy in Ry/atom: -0.2393
Symmetry: No. 189
Total magnetization in μB per formula unit: 0.0

Unit cell a=4.8986 b=7.5141 c=7.5141 alpha=120.00 beta=90.00 gamma=90.00
Last column: nearest neighbours and their distance in Å.
Fractional coordinates of all 9 atoms:
Mg  0.5000  0.7634  0.7634  6 Mg 2.94-3.08
Mg  0.5000  0.0000  0.2366  6 Mg 2.94-3.08
Mg  0.5000  0.6667  0.3333  3 Mg 2.94
Mg  0.0000  0.0000  0.0000  6 Mg 3.03, 3 Y 3.24
Mg  0.5000  0.3333  0.6667  3 Mg 2.94
Mg  0.5000  0.2366  0.0000  6 Mg 2.94-3.08
Y  0.0000  0.0000  0.5688  7 Mg 3.24-3.50
Y  0.0000  0.4312  0.4312  7 Mg 3.24-3.50
Y  0.0000  0.5688  0.0000  7 Mg 3.24-3.50

***

P2IrSe | GGA-PBE | optimized geometry

Calculated values
Electronic total energy in Ry/atom: -0.4206
Symmetry: No. 10
Formation energy from raw total energies in meV/atom: 69.4
Total magnetization in μB per formula unit: 0.0

Unit cell a=2.7401 b=7.5805 c=3.8253 alpha=90.00 beta=90.35 gamma=90.00
Last column: nearest neighbours and their distance in Å.
Fractional coordinates of all 4 atoms:
Ir  0.0000  0.5000  0.0000  4 P 2.34
Se  0.0000  0.0000  0.5000  2 P 2.44
P  0.0000  0.6776  0.5000  2 Ir 2.34, 1 Se 2.44
P  0.0000  0.3224  0.5000  2 Ir 2.34, 1 Se 2.44

***

LiTl2AgCl8 | GGA-PBE | optimized geometry

Calculated values
Electronic total energy in Ry/atom: -0.2031
Symmetry: No. 119
Formation energy from raw total energies in meV/atom: -740.1
Total magnetization in μB per formula unit: 0.0

Unit cell a=7.6774 b=7.6774 c=7.6774 alpha=109.70 beta=109.70 gamma=109.02
Last column: nearest neighbours and their distance in Å.
Fractional coordinates of all 12 atoms:
Cl  0.8943  0.6851  0.2092  1 Tl 2.48, 1 Li 2.64
Cl  0.9413  0.2341  0.2928  1 Tl 2.50, 1 Ag 2.64
Cl  0.4760  0.6851  0.7908  1 Tl 2.48, 1 Li 2.64
Cl  0.3149  0.5240  0.2092  1 Tl 2.48, 1 Li 2.64
Cl  0.3149  0.1057  0.7908  1 Tl 2.48, 1 Li 2.64
Cl  0.3515  0.0587  0.2928  1 Tl 2.50, 1 Ag 2.64
Cl  0.7659  0.0587  0.7072  1 Tl 2.50, 1 Ag 2.64
Cl  0.9413  0.6485  0.7072  1 Tl 2.50, 1 Ag 2.64
Li  0.2500  0.7500  0.5000  4 Cl 2.64
Ag  0.0000  0.0000  0.0000  4 Cl 2.64
Tl  0.5000  0.5000  0.0000  4 Cl 2.48
Tl  0.7500  0.2500  0.5000  4 Cl 2.50

***

K3Cu2 | GGA-PBE | optimized geometry

Calculated values
ΔH_f (0 K) in eV per atom: 0.3847
Electronic total energy in Ry/atom: -0.1406
Symmetry: No. 164
Offset from the most stable computed form in meV per atom: 0.0
Total magnetization in μB per formula unit: 0.0

Unit cell a=5.7028 b=5.7028 c=6.8706 alpha=90.00 beta=90.00 gamma=120.00
Last column: nearest neighbours and their distance in Å.
Fractional coordinates of all 5 atoms:
K  0.3333  0.6667  0.3304  5 Cu 3.35-3.52
K  0.6667  0.3333  0.6696  5 Cu 3.35-3.52
K  0.0000  0.0000  0.0000  6 Cu 3.46
Cu  0.3333  0.6667  0.8432  8 K 3.35-3.52
Cu  0.6667  0.3333  0.1568  8 K 3.35-3.52

***

RbHoBeS3 | GGA-PBE | optimized geometry

Calculated values
Electronic total energy in Ry/atom: -0.3799
Symmetry: No. 11
Formation energy from raw total energies in meV/atom: -1560.1
Total magnetization in μB per formula unit: 0.0

Unit cell a=3.8668 b=9.2051 c=9.2576 alpha=110.42 beta=90.00 gamma=90.00
Last column: nearest neighbours and their distance in Å.
Fractional coordinates of all 12 atoms:
S  0.7500  0.4672  0.1617  3 Ho 2.70
S  0.2500  0.8373  0.4668  3 Be 2.12-2.28
S  0.2500  0.1206  0.8396  1 Be 2.06
S  0.2500  0.5328  0.8383  3 Ho 2.70
S  0.7500  0.1627  0.5332  3 Be 2.12-2.28
S  0.7500  0.8794  0.1604  1 Be 2.06
Rb  0.2500  0.2056  0.2370  7 S 3.35-3.49
Rb  0.7500  0.7944  0.7630  7 S 3.35-3.49
Be  0.2500  0.0753  0.6048  4 S 2.06-2.28
Be  0.7500  0.9247  0.3952  4 S 2.06-2.28
Ho  0.2500  0.6672  0.1477  6 S 2.70-2.82
Ho  0.7500  0.3328  0.8523  6 S 2.70-2.82

***

RbCdCuI2 | GGA-PBE | optimized geometry

Calculated values
Electronic total energy in Ry/atom: -0.1039
Symmetry: No. 123
Formation energy from raw total energies in meV/atom: 401.9
Total magnetization in μB per formula unit: 0.0

Unit cell a=6.8765 b=6.5775 c=6.8765 alpha=90.00 beta=90.00 gamma=90.00
Last column: nearest neighbours and their distance in Å.
Fractional coordinates of all 5 atoms:
Cd  0.0000  0.5000  0.0000  2 Rb 3.29
Cu  0.5000  0.5000  0.5000  8 I 4.76, 4 Cd 4.86
Rb  0.0000  0.0000  0.0000  2 Cd 3.29, 4 I 3.44
I  0.5000  0.0000  0.0000  2 Rb 3.44
I  0.0000  0.0000  0.5000  2 Rb 3.44

***

K2TaAgSe4 | GGA-PBE | optimized geometry

Calculated values
Electronic total energy in Ry/atom: -0.3499
Symmetry: No. 70
Formation energy from raw total energies in meV/atom: -905.9
Total magnetization in μB per formula unit: 0.0

Unit cell a=6.0503 b=7.5441 c=12.8170 alpha=84.57 beta=76.35 gamma=66.36
Last column: nearest neighbours and their distance in Å.
Fractional coordinates of all 16 atoms:
Ta  0.2500  0.5000  0.5000  4 Se 2.44
Ta  0.5000  0.0000  0.0000  4 Se 2.44
K  0.5668  0.5000  0.8664  8 Se 3.49-3.85
K  0.1832  0.0000  0.6336  8 Se 3.49-3.85
K  0.9332  0.5000  0.1336  8 Se 3.49-3.85
K  0.8168  0.0000  0.3664  8 Se 3.49-3.85
Se  0.1919  0.2894  0.3853  1 Ta 2.44, 1 Ag 2.65
Se  0.5187  0.2894  0.6147  1 Ta 2.44, 1 Ag 2.65
Se  0.8834  0.7894  0.8853  1 Ta 2.44, 1 Ag 2.65
Se  0.8666  0.7106  0.6147  1 Ta 2.44, 1 Ag 2.65
Se  0.3272  0.7894  0.1147  1 Ta 2.44, 1 Ag 2.65
Se  0.2313  0.2106  0.8853  1 Ta 2.44, 1 Ag 2.65
Se  0.4228  0.7106  0.3853  1 Ta 2.44, 1 Ag 2.65
Se  0.5581  0.2106  0.1147  1 Ta 2.44, 1 Ag 2.65
Ag  0.7500  0.5000  0.5000  4 Se 2.65
Ag  0.0000  0.0000  0.0000  4 Se 2.65